VASP calculation (PBE) on a geometry-optimized Pu2NpGaN5 structure.

abc: 3.382 13.748 10.208
angles: 90.00 90.00 90.00
Space group Cmc2_1 (No. 36)
One atom of each set of equivalent atoms:
Pu 0.000 0.111 0.000 x4
Pu 0.000 0.129 0.598 x4
Np 0.000 0.208 0.309 x4
Ga 0.000 0.490 0.779 x4
N 0.000 0.050 0.359 x4
N 0.000 0.286 0.950 x4
N 0.000 0.301 0.670 x4
N 0.000 0.364 0.315 x4
N 0.000 0.495 0.086 x4

Properties
Fermi-level density of states	1.733	states/eV per atom
total energy	-10.47	eV per atom

VASP calculation (PBE) on a geometry-optimized ScAg4Se structure.

abc: 7.823 7.823 7.823
angles: 90.00 90.00 90.00
Space group F-43m (No. 216)
One atom of each set of equivalent atoms:
Sc 0.000 0.000 0.000 x4
Ag 0.125 0.125 0.375 x16
Se 0.250 0.250 0.750 x4

Properties
Fermi-level density of states	0.802	states/eV per atom
total energy	-3.57	eV per atom

Q: Which of these has the lowest total energy?
A: Pu2NpGaN5